Entry 1:
Entry from Alexandria: a relaxed PaSO2 crystal (PBE-GGA).

Output
Calculated volume   289 Å³/cell
Formation energy without anion corrections   -2.70 eV/atom
E above lowest polymorph   0.00 eV per formula unit
Total energy   -137.388 eV for the cell shown

Cell lengths 15.154, 3.727, 5.470 Å; angles 90.00, 110.47, 90.00 degrees
Space group C2/m (No. 12)
Inequivalent atoms, fractional coordinates:
Pa 0.188 0.000 0.190 x4
S 0.000 0.000 0.190 x4
O 0.189 0.500 0.427 x4
O 0.189 0.500 0.957 x4


Entry 2:
Entry from Alexandria: a relaxed K2ScCo crystal (PBE-GGA).

Output
Calculated volume   491 Å³/cell
E above lowest polymorph   4.09 eV per formula unit
Total energy   -40.413 eV for the cell shown
Energy of formation from the pure elements   1382 meV/atom

Cell lengths 7.889, 7.889, 7.889 Å; angles 90.00, 90.00, 90.00 degrees
Space group Fm-3m (No. 225)
Inequivalent atoms, fractional coordinates:
K 0.250 0.250 0.250 x8
Sc 0.000 0.000 0.000 x4
Co 0.000 0.000 0.500 x4


Entry 3:
Entry from Alexandria: a relaxed AgWC2 crystal (PBE-GGA).

Output
Calculated volume   175 Å³/cell
E above lowest polymorph   3.51 eV per formula unit
Total energy   -107.107 eV for the cell shown
Energy of formation from the pure elements   1869 meV/atom

Cell lengths 5.590, 5.590, 5.590 Å; angles 90.00, 90.00, 90.00 degrees
Space group Fm-3m (No. 225)
Inequivalent atoms, fractional coordinates:
Ag 0.000 0.000 0.000 x4
W 0.000 0.000 0.500 x4
C 0.250 0.250 0.250 x8


total energy of number 2 (K2ScCo)? -40.413 eV for the cell shown


calculated volume of number 3 (AgWC2)? 175 Å³/cell


What is the calculated volume in the third record? 175 Å³/cell